Here is CaPuHgPt after structural relaxation from Alexandria. Energies are from PBE.

## Properties
E_tot: -6.16 eV per atom
Excess energy over the best structure of this formula in the dataset: 92 meV per atom
DOS(E_F): 3.078 states/eV/atom
SG: No. 216

abc: 5.1436 5.1436 5.1436
angles: 60.00 60.00 60.00
Site moments in Bohr magnetons follow the coordinates.
Fractional coordinates of all 4 atoms:
Ca 0.5000 0.5000 0.5000  0.03
Hg 0.7500 0.7500 0.7500  0.04
Pu 0.0000 0.0000 0.0000  5.34
Pt 0.2500 0.2500 0.2500  -0.06